1.
DFT (GGA-PBE) results for a relaxed La2NdPuN5 crystal.

Results
uncorrected formation energy: -1.12 eV per atom
size of the total moment: 2.00 μB/f.u.

abc: 3.8610 13.2238 11.8207
angles: 90.00 90.00 90.00
Space group Cmc2_1 (No. 36)
Asymmetric unit:
La: 0.0000 0.0926 0.0000 x4
La: 0.0000 0.1601 0.5346 x4
Nd: 0.0000 0.2660 0.2812 x4
Pu: 0.0000 0.4604 0.7706 x4
N: 0.0000 0.0750 0.3453 x4
N: 0.0000 0.2510 0.9220 x4
N: 0.0000 0.3338 0.6606 x4
N: 0.0000 0.4186 0.1413 x4
N: 0.0000 0.4260 0.3783 x4

---

2.
DFT (GGA-PBE) results for a relaxed LaNdPuN3 crystal.

Results
uncorrected formation energy: -1.10 eV per atom
size of the total moment: 4.94 μB/f.u.

abc: 7.3502 3.6970 9.9556
angles: 90.00 110.44 90.00
Space group P2_1/m (No. 11)
Asymmetric unit:
La: 0.0782 0.2500 0.3731 x2
Nd: 0.4584 0.7500 0.6459 x2
Pu: 0.2984 0.2500 0.8974 x2
N: 0.1998 0.2500 0.6409 x2
N: 0.3088 0.7500 0.3873 x2
N: 0.4586 0.7500 0.8932 x2

---

| no. | VASP energy (eV per atom) |
| --- | --- |
| 1 | -8.9662 |
| 2 | -9.2628 |